Record 1
DFT (GGA-PBE) results for MgZnCuOs after structural relaxation.

Geometry as POSCAR:
```
MgZnCuOs
1.0
-3.973 -1.116 -1.253
-3.255 0.081 2.828
-3.077 3.002 -0.339
Cu Mg Os Zn
1 1 1 1
Direct
0.750 0.750 0.750
0.500 0.500 0.500
0.250 0.250 0.250
0.000 0.000 0.000
```

Computed properties:
The value obtained for the total magnetic moment is 0.003 Bohr magnetons per cell. The symmetry is F-43m, No. 216. The total energy comes out at -16.88 eV for the cell shown. For the energy relative to the lowest polymorph listed for this composition, the calculation gives 0 meV per atom.

=====

Record 2
DFT (GGA-PBE) results for Pm2Dy after structural relaxation.

Geometry as POSCAR:
```
Pm2Dy
1.0
3.387 -5.480 1.536
3.776 -0.144 5.439
-1.824 -3.672 5.201
Dy Pm
2 4
Direct
0.000 0.000 0.000
0.250 0.250 0.250
0.625 0.625 0.125
0.625 0.125 0.625
0.125 0.625 0.625
0.625 0.625 0.625
```

Computed properties:
The value obtained for the total magnetic moment is 0.015 Bohr magnetons per cell. The symmetry is Fd-3m, No. 227. The total energy comes out at -26.63 eV for the cell shown. For the energy relative to the lowest polymorph listed for this composition, the calculation gives 0 meV per atom.

=====

Record 3
DFT (GGA-PBE) results for Mg2Ni2W3 after structural relaxation.

Geometry as POSCAR:
```
Mg2Ni2W3
1.0
-5.774 2.699 2.699
-2.699 2.699 5.774
-2.699 5.774 2.699
Mg Ni W
2 2 3
Direct
0.187 0.187 0.187
0.769 0.769 0.769
0.047 0.047 0.047
0.485 0.485 0.485
0.342 0.342 0.342
0.624 0.624 0.624
0.919 0.919 0.919
```

Computed properties:
The value obtained for the total magnetic moment is 0.001 Bohr magnetons per cell. The symmetry is R3m, No. 160. The total energy comes out at -51.89 eV for the cell shown.

=====

Record 4
DFT (GGA-PBE) results for Pd after structural relaxation.

Geometry as POSCAR:
```
Pd
1.0
1.135 -3.671 1.346
-3.944 0.823 -0.587
2.493 -0.400 -3.193
Pd
2
Direct
0.000 0.000 0.000
0.250 0.500 0.750
```

Computed properties:
The symmetry is Fd-3m, No. 227. The total energy comes out at -8.06 eV for the cell shown. For the energy relative to the lowest polymorph listed for this composition, the calculation gives 1144 meV per atom.

=====

Record 5
DFT (GGA-PBE) results for HoGa2Ir2 after structural relaxation.

Geometry as POSCAR:
```
HoGa2Ir2
1.0
-2.111 2.111 5.014
2.111 -2.111 5.014
2.111 2.111 -5.014
Ga Ho Ir
2 1 2
Direct
0.378 0.378 0.000
0.622 0.622 0.000
0.000 0.000 0.000
0.750 0.250 0.500
0.250 0.750 0.500
```

Computed properties:
The value obtained for the total magnetic moment is 0.000 Bohr magnetons per cell. The symmetry is I4/mmm, No. 139. The total energy comes out at -31.77 eV for the cell shown.

=====

Record 6
DFT (GGA-PBE) results for Ba2Pd3Cl2O4 after structural relaxation.

Geometry as POSCAR:
```
Ba2Pd3Cl2O4
1.0
-2.889 2.889 6.873
2.889 -2.889 6.873
2.889 2.889 -6.873
Ba Cl O Pd
2 2 4 3
Direct
0.354 0.354 0.000
0.646 0.646 0.000
0.750 0.250 0.500
0.250 0.750 0.500
0.749 0.251 0.000
0.251 0.749 0.000
0.749 0.749 0.498
0.251 0.251 0.502
0.000 0.000 0.000
0.500 0.000 0.500
0.000 0.500 0.500
```

Computed properties:
The symmetry is I4/mmm, No. 139. The total energy comes out at -57.14 eV for the cell shown.

=====

Record 7
DFT (GGA-PBE) results for Li3Os3Au2 after structural relaxation.

Geometry as POSCAR:
```
Li3Os3Au2
1.0
2.322 1.341 5.965
-2.322 1.341 5.965
0.000 -2.681 5.965
Au Li Os
2 3 3
Direct
0.218 0.218 0.218
0.782 0.782 0.782
0.500 0.500 0.000
0.500 0.000 0.500
0.000 0.500 0.500
0.066 0.066 0.066
0.500 0.500 0.500
0.934 0.934 0.934
```

Computed properties:
The value obtained for the total magnetic moment is 0.097 Bohr magnetons per cell. The symmetry is R-3m, No. 166. The total energy comes out at -41.63 eV for the cell shown.

=====

Record 8
DFT (GGA-PBE) results for InCuTcTe3 after structural relaxation.

Geometry as POSCAR:
```
InCuTcTe3
1.0
3.882 0.000 0.000
1.941 7.447 0.000
0.000 0.000 10.203
Cu In Tc Te
2 2 2 6
Direct
0.466 0.068 0.250
0.534 0.932 0.750
0.758 0.483 0.250
0.242 0.517 0.750
0.000 0.000 0.000
0.000 0.000 0.500
0.370 0.259 0.042
0.079 0.842 0.250
0.370 0.259 0.458
0.630 0.741 0.542
0.921 0.158 0.750
0.630 0.741 0.958
```

Computed properties:
The value obtained for the total magnetic moment is 2.815 Bohr magnetons per cell. The symmetry is Cmcm, No. 63. The total energy comes out at -52.41 eV for the cell shown.

=====

Calculated density? In order: 10059 7316 11281 7408 12792 5276 14686 7421 kg/m³.
Calculated volume? In order: 56.7 205.4 105.6 47.7 89.4 229.4 111.4 295.0 Å³/cell.